Record 1
A relaxed NdSm6Dy2Y3 crystal, computed with PBE-GGA.

Cell lengths 6.247, 6.247, 11.917 Å; angles 95.00, 95.00, 119.98 degrees
Fractional coordinates of all 12 atoms:
Nd: 0.000 0.000 0.000
Sm: 0.084 0.418 0.250
Sm: 0.250 0.250 0.750
Sm: 0.418 0.084 0.250
Sm: 0.582 0.916 0.750
Sm: 0.750 0.750 0.250
Sm: 0.916 0.582 0.750
Dy: 0.333 0.667 0.000
Dy: 0.667 0.333 0.000
Y: 0.167 0.833 0.500
Y: 0.500 0.500 0.500
Y: 0.833 0.167 0.500

Results
space group: C2/m
D(E_F): 1.30 states/eV/atom
energy of formation: 0.01 eV/atom

Record 2
A relaxed KGaSbO5 crystal, computed with PBE-GGA.

Cell lengths 5.985, 5.985, 7.646 Å; angles 105.69, 105.69, 105.70 degrees
Fractional coordinates of all 16 atoms:
K: 0.168 0.832 0.750
K: 0.832 0.168 0.250
Ga: 0.199 0.801 0.250
Ga: 0.801 0.199 0.750
Sb: 0.500 0.500 0.000
Sb: 0.500 0.500 0.500
O: 0.138 0.277 0.902
O: 0.217 0.605 0.401
O: 0.277 0.138 0.402
O: 0.395 0.783 0.099
O: 0.438 0.562 0.750
O: 0.562 0.438 0.250
O: 0.605 0.217 0.901
O: 0.723 0.862 0.598
O: 0.783 0.395 0.599
O: 0.862 0.723 0.098

Results
formation energy (no corrections): -1.420 eV/atom
space group: C2/c
D(E_F): 0.52 states/eV/atom

Record 3
A relaxed ReNiBP crystal, computed with PBE-GGA.

Cell lengths 7.129, 3.221, 4.465 Å; angles 90.00, 106.61, 90.00 degrees
Fractional coordinates of all 8 atoms:
Re: 0.000 0.000 0.000
Re: 0.500 0.500 0.000
Ni: 0.240 0.000 0.602
Ni: 0.740 0.500 0.602
B: 0.314 0.000 0.099
B: 0.814 0.500 0.099
P: 0.405 0.500 0.452
P: 0.905 0.000 0.452

Results
space group: Cm
energy above the most stable polymorph in this dataset: 99 meV per atom
D(E_F): 0.47 states/eV/atom
energy of formation: -0.07 eV/atom

Record 4
A relaxed AlTc2PPb crystal, computed with PBE-GGA.

Cell lengths 5.177, 5.177, 4.988 Å; angles 90.00, 90.00, 90.00 degrees
Fractional coordinates of all 5 atoms:
Al: 0.000 0.000 0.000
Tc: 0.000 0.500 0.500
Tc: 0.500 0.000 0.500
P: 0.500 0.500 0.000
Pb: 0.000 0.000 0.500

Results
space group: P4/mmm
D(E_F): 1.10 states/eV/atom
energy of formation: 2.24 eV/atom

Record 5
A relaxed Be3CoTe crystal, computed with PBE-GGA.

Cell lengths 4.527, 4.527, 4.527 Å; angles 90.00, 90.00, 90.00 degrees
Fractional coordinates of all 5 atoms:
Be: 0.000 0.000 0.500
Be: 0.000 0.500 0.000
Be: 0.500 0.000 0.000
Co: 0.500 0.500 0.500
Te: 0.000 0.000 0.000

Results
formation energy (no corrections): 1.819 eV/atom
space group: Pm-3m
energy above the most stable polymorph in this dataset: 1222 meV per atom
D(E_F): 1.10 states/eV/atom

Record 6
A relaxed AsIr2N crystal, computed with PBE-GGA.

Cell lengths 5.908, 5.908, 5.908 Å; angles 90.00, 90.00, 90.00 degrees
Fractional coordinates of all 16 atoms:
As: 0.000 0.000 0.000
As: 0.000 0.500 0.500
As: 0.500 0.000 0.500
As: 0.500 0.500 0.000
Ir: 0.250 0.250 0.250
Ir: 0.250 0.250 0.750
Ir: 0.250 0.750 0.250
Ir: 0.250 0.750 0.750
Ir: 0.750 0.250 0.250
Ir: 0.750 0.250 0.750
Ir: 0.750 0.750 0.250
Ir: 0.750 0.750 0.750
N: 0.000 0.000 0.500
N: 0.000 0.500 0.000
N: 0.500 0.000 0.000
N: 0.500 0.500 0.500

Results
formation energy (no corrections): 0.998 eV/atom
space group: Fm-3m
energy above the most stable polymorph in this dataset: 708 meV per atom
D(E_F): 0.73 states/eV/atom

Record 7
A relaxed K2RbUBr6 crystal, computed with PBE-GGA.

Cell lengths 8.658, 8.658, 8.658 Å; angles 56.93, 56.93, 56.93 degrees
Fractional coordinates of all 10 atoms:
K: 0.000 0.000 0.000
K: 0.489 0.489 0.489
Rb: 0.204 0.204 0.204
U: 0.693 0.693 0.693
Br: 0.046 0.446 0.799
Br: 0.331 0.882 0.609
Br: 0.446 0.799 0.046
Br: 0.609 0.331 0.882
Br: 0.799 0.046 0.446
Br: 0.882 0.609 0.331

Results
formation energy (no corrections): -1.577 eV/atom
space group: R3

Record 8
A relaxed Pr6GeSb3Se2 crystal, computed with PBE-GGA.

Cell lengths 9.909, 9.909, 8.878 Å; angles 102.99, 102.99, 25.84 degrees
Fractional coordinates of all 12 atoms:
Pr: 0.002 0.002 0.239
Pr: 0.332 0.332 0.421
Pr: 0.339 0.339 0.915
Pr: 0.661 0.661 0.085
Pr: 0.668 0.668 0.579
Pr: 0.998 0.998 0.761
Ge: 0.500 0.500 0.000
Sb: 0.169 0.169 0.832
Sb: 0.500 0.500 0.500
Sb: 0.831 0.831 0.168
Se: 0.167 0.167 0.335
Se: 0.833 0.833 0.665

Results
formation energy (no corrections): -1.372 eV/atom
space group: C2/m
D(E_F): 0.20 states/eV/atom

Record 9
A relaxed PtAuF3 crystal, computed with PBE-GGA.

Cell lengths 4.282, 4.282, 4.282 Å; angles 90.00, 90.00, 90.00 degrees
Fractional coordinates of all 5 atoms:
Pt: 0.000 0.000 0.000
Au: 0.500 0.500 0.500
F: 0.000 0.000 0.500
F: 0.000 0.500 0.000
F: 0.500 0.000 0.000

Results
formation energy (no corrections): -0.432 eV/atom
space group: Pm-3m
energy above the most stable polymorph in this dataset: 0 meV per atom
D(E_F): 0.31 states/eV/atom

Record 10
A relaxed PuCd2Ag crystal, computed with PBE-GGA.

Cell lengths 3.117, 3.117, 31.379 Å; angles 90.00, 90.00, 120.00 degrees
Fractional coordinates of all 12 atoms:
Pu: 0.000 0.000 0.000
Pu: 0.333 0.667 0.667
Pu: 0.667 0.333 0.333
Cd: 0.000 0.000 0.243
Cd: 0.000 0.000 0.757
Cd: 0.333 0.667 0.424
Cd: 0.333 0.667 0.910
Cd: 0.667 0.333 0.090
Cd: 0.667 0.333 0.576
Ag: 0.000 0.000 0.500
Ag: 0.333 0.667 0.167
Ag: 0.667 0.333 0.833

Results
space group: R-3m
D(E_F): 1.86 states/eV/atom
energy of formation: 0.03 eV/atom

Record 11
A relaxed ZnP crystal, computed with PBE-GGA.

Cell lengths 6.188, 6.188, 4.193 Å; angles 90.00, 90.00, 90.00 degrees
Fractional coordinates of all 8 atoms:
Zn: 0.249 0.249 0.000
Zn: 0.251 0.749 0.500
Zn: 0.749 0.251 0.500
Zn: 0.751 0.751 0.000
P: 0.133 0.867 0.000
P: 0.367 0.367 0.500
P: 0.633 0.633 0.500
P: 0.867 0.133 0.000

Results
space group: P4_2/mnm
D(E_F): 0.09 states/eV/atom
energy of formation: -0.04 eV/atom

Record 12
A relaxed GdDyY2 crystal, computed with PBE-GGA.

Cell lengths 3.568, 3.568, 10.098 Å; angles 90.00, 90.00, 90.00 degrees
Fractional coordinates of all 4 atoms:
Gd: 0.000 0.000 0.000
Dy: 0.000 0.000 0.500
Y: 0.500 0.500 0.252
Y: 0.500 0.500 0.748

Results
space group: P4/mmm
energy above the most stable polymorph in this dataset: 2 meV per atom
D(E_F): 1.57 states/eV/atom
energy of formation: 0.03 eV/atom

Record 13
A relaxed KMn3 crystal, computed with PBE-GGA.

Cell lengths 2.962, 2.962, 8.675 Å; angles 90.00, 90.00, 90.00 degrees
Fractional coordinates of all 4 atoms:
K: 0.000 0.000 0.000
Mn: 0.000 0.000 0.500
Mn: 0.500 0.500 0.341
Mn: 0.500 0.500 0.659

Results
space group: P4/mmm
energy above the most stable polymorph in this dataset: 0 meV per atom
D(E_F): 1.07 states/eV/atom
energy of formation: 0.71 eV/atom

Record 14
A relaxed AlBTe2 crystal, computed with PBE-GGA.

Cell lengths 6.983, 6.983, 8.191 Å; angles 90.00, 90.00, 90.00 degrees
Fractional coordinates of all 16 atoms:
Al: 0.000 0.000 0.000
Al: 0.000 0.500 0.250
Al: 0.500 0.000 0.750
Al: 0.500 0.500 0.500
B: 0.000 0.000 0.500
B: 0.000 0.500 0.750
B: 0.500 0.000 0.250
B: 0.500 0.500 0.000
Te: 0.160 0.250 0.625
Te: 0.250 0.660 0.875
Te: 0.250 0.840 0.375
Te: 0.340 0.250 0.125
Te: 0.660 0.750 0.125
Te: 0.750 0.160 0.375
Te: 0.750 0.340 0.875
Te: 0.840 0.750 0.625

Results
formation energy (no corrections): 0.424 eV/atom
space group: I-42d
energy above the most stable polymorph in this dataset: 0 meV per atom
D(E_F): 0.00 states/eV/atom

Record 15
A relaxed PmPrSiRh crystal, computed with PBE-GGA.

Cell lengths 4.150, 4.331, 10.672 Å; angles 90.00, 90.00, 90.00 degrees
Fractional coordinates of all 8 atoms:
Pm: 0.000 0.000 0.000
Pm: 0.000 0.500 0.500
Pr: 0.500 0.000 0.717
Pr: 0.500 0.500 0.217
Si: 0.000 0.000 0.298
Si: 0.000 0.500 0.798
Rh: 0.500 0.000 0.434
Rh: 0.500 0.500 0.934

Results
formation energy (no corrections): -0.745 eV/atom
space group: Amm2
energy above the most stable polymorph in this dataset: 0 meV per atom
D(E_F): 0.84 states/eV/atom

Record 16
A relaxed CeMgNiHg crystal, computed with PBE-GGA.

Cell lengths 6.978, 6.978, 6.978 Å; angles 90.00, 90.00, 90.00 degrees
Fractional coordinates of all 16 atoms:
Ce: 0.000 0.000 0.000
Ce: 0.000 0.500 0.500
Ce: 0.500 0.000 0.500
Ce: 0.500 0.500 0.000
Mg: 0.000 0.000 0.500
Mg: 0.000 0.500 0.000
Mg: 0.500 0.000 0.000
Mg: 0.500 0.500 0.500
Ni: 0.250 0.250 0.250
Ni: 0.250 0.750 0.750
Ni: 0.750 0.250 0.750
Ni: 0.750 0.750 0.250
Hg: 0.250 0.250 0.750
Hg: 0.250 0.750 0.250
Hg: 0.750 0.250 0.250
Hg: 0.750 0.750 0.750

Results
space group: F-43m
D(E_F): 1.61 states/eV/atom
energy of formation: -0.20 eV/atom

Record 17
A relaxed MnSnPd crystal, computed with PBE-GGA.

Cell lengths 9.526, 3.259, 7.236 Å; angles 90.00, 113.79, 90.00 degrees
Fractional coordinates of all 12 atoms:
Mn: 0.164 0.000 0.068
Mn: 0.336 0.500 0.932
Mn: 0.664 0.500 0.068
Mn: 0.836 0.000 0.932
Sn: 0.009 0.500 0.261
Sn: 0.491 0.000 0.739
Sn: 0.509 0.000 0.261
Sn: 0.991 0.500 0.739
Pd: 0.173 0.000 0.611
Pd: 0.327 0.500 0.389
Pd: 0.673 0.500 0.611
Pd: 0.827 0.000 0.389

Results
space group: C2/m
D(E_F): 0.71 states/eV/atom
energy of formation: -0.15 eV/atom

Record 18
A relaxed LiBSe2 crystal, computed with PBE-GGA.

Cell lengths 11.196, 7.575, 4.195 Å; angles 90.00, 100.54, 90.00 degrees
Fractional coordinates of all 16 atoms:
Li: 0.238 0.000 0.109
Li: 0.262 0.500 0.891
Li: 0.738 0.500 0.109
Li: 0.762 0.000 0.891
B: 0.032 0.789 0.332
B: 0.468 0.289 0.668
B: 0.532 0.289 0.332
B: 0.968 0.789 0.668
Se: 0.000 0.580 0.000
Se: 0.000 0.998 0.000
Se: 0.209 0.690 0.370
Se: 0.291 0.190 0.630
Se: 0.500 0.080 0.000
Se: 0.500 0.498 0.000
Se: 0.709 0.190 0.370
Se: 0.791 0.690 0.630

Results
formation energy (no corrections): -0.454 eV/atom
space group: C2
D(E_F): 0.00 states/eV/atom

Record 19
A relaxed Fe2AgAu crystal, computed with PBE-GGA.

Cell lengths 2.779, 3.931, 5.555 Å; angles 90.00, 90.00, 90.00 degrees
Fractional coordinates of all 4 atoms:
Fe: 0.000 0.000 0.248
Fe: 0.000 0.000 0.752
Ag: 0.500 0.500 0.500
Au: 0.500 0.500 0.000

Results
space group: Pmmm
D(E_F): 0.81 states/eV/atom
energy of formation: 0.29 eV/atom

Record 20
A relaxed ZrMn2In crystal, computed with PBE-GGA.

Cell lengths 3.068, 3.068, 27.288 Å; angles 90.00, 90.00, 120.00 degrees
Fractional coordinates of all 12 atoms:
Zr: 0.000 0.000 0.000
Zr: 0.333 0.667 0.667
Zr: 0.667 0.333 0.333
Mn: 0.000 0.000 0.248
Mn: 0.000 0.000 0.516
Mn: 0.333 0.667 0.183
Mn: 0.333 0.667 0.915
Mn: 0.667 0.333 0.581
Mn: 0.667 0.333 0.850
In: 0.000 0.000 0.764
In: 0.333 0.667 0.431
In: 0.667 0.333 0.097

Results
space group: R3m
D(E_F): 0.88 states/eV/atom
energy of formation: 0.25 eV/atom

Record 21
A relaxed La3B4C4 crystal, computed with PBE-GGA.

Cell lengths 7.261, 7.261, 7.261 Å; angles 139.10, 136.87, 60.95 degrees
Fractional coordinates of all 11 atoms:
La: 0.000 0.000 0.000
La: 0.283 0.783 0.500
La: 0.717 0.217 0.500
B: 0.075 0.423 0.653
B: 0.230 0.577 0.653
B: 0.770 0.423 0.347
B: 0.925 0.577 0.347
C: 0.202 0.202 0.000
C: 0.366 0.500 0.866
C: 0.634 0.500 0.134
C: 0.798 0.798 0.000

Results
space group: Immm
D(E_F): 0.42 states/eV/atom
energy of formation: 0.41 eV/atom

Record 22
A relaxed Cs3RuCl8 crystal, computed with PBE-GGA.

Cell lengths 9.085, 9.085, 9.085 Å; angles 130.39, 130.39, 72.79 degrees
Fractional coordinates of all 12 atoms:
Cs: 0.000 0.000 0.000
Cs: 0.250 0.750 0.500
Cs: 0.750 0.250 0.500
Ru: 0.500 0.500 0.000
Cl: 0.206 0.206 0.613
Cl: 0.206 0.593 0.000
Cl: 0.407 0.407 0.613
Cl: 0.407 0.794 0.000
Cl: 0.593 0.206 0.000
Cl: 0.593 0.593 0.387
Cl: 0.794 0.407 0.000
Cl: 0.794 0.794 0.387

Results
formation energy (no corrections): -0.943 eV/atom
space group: I4/mmm
energy above the most stable polymorph in this dataset: 267 meV per atom
D(E_F): 1.59 states/eV/atom

Record 23
A relaxed TcHgW2 crystal, computed with PBE-GGA.

Cell lengths 5.611, 8.235, 2.859 Å; angles 90.00, 90.00, 90.00 degrees
Fractional coordinates of all 8 atoms:
Tc: 0.000 0.000 0.000
Tc: 0.500 0.500 0.000
Hg: 0.000 0.500 0.000
Hg: 0.500 0.000 0.000
W: 0.250 0.250 0.500
W: 0.250 0.750 0.500
W: 0.750 0.250 0.500
W: 0.750 0.750 0.500

Results
space group: Cmmm
D(E_F): 0.78 states/eV/atom
energy of formation: 0.60 eV/atom

Record 24
A relaxed Zr2TaB2 crystal, computed with PBE-GGA.

Cell lengths 6.435, 6.435, 3.482 Å; angles 90.00, 90.00, 90.00 degrees
Fractional coordinates of all 10 atoms:
Zr: 0.182 0.318 0.000
Zr: 0.318 0.818 0.000
Zr: 0.682 0.182 0.000
Zr: 0.818 0.682 0.000
Ta: 0.000 0.000 0.500
Ta: 0.500 0.500 0.500
B: 0.101 0.601 0.500
B: 0.399 0.101 0.500
B: 0.601 0.899 0.500
B: 0.899 0.399 0.500

Results
space group: P4/mbm
D(E_F): 0.73 states/eV/atom
energy of formation: -0.48 eV/atom

Record 25
A relaxed PrCo3Ge3 crystal, computed with PBE-GGA.

Cell lengths 6.400, 6.400, 6.400 Å; angles 90.00, 90.00, 90.00 degrees
Fractional coordinates of all 14 atoms:
Pr: 0.000 0.000 0.000
Pr: 0.500 0.500 0.500
Co: 0.000 0.250 0.500
Co: 0.000 0.750 0.500
Co: 0.250 0.500 0.000
Co: 0.500 0.000 0.250
Co: 0.500 0.000 0.750
Co: 0.750 0.500 0.000
Ge: 0.000 0.500 0.250
Ge: 0.000 0.500 0.750
Ge: 0.250 0.000 0.500
Ge: 0.500 0.250 0.000
Ge: 0.500 0.750 0.000
Ge: 0.750 0.000 0.500

Results
space group: Pm-3n
energy above the most stable polymorph in this dataset: 261 meV per atom
D(E_F): 1.27 states/eV/atom
energy of formation: -0.07 eV/atom

no.,magnetization (μB/cell)
1,0.00
2,2.08
3,0.00
4,5.40
5,0.00
6,0.00
7,3.00
8,0.00
9,0.00
10,16.62
11,0.00
12,7.22
13,6.40
14,0.00
15,0.00
16,1.68
17,14.33
18,0.00
19,5.78
20,1.16
21,0.00
22,0.67
23,0.00
24,0.00
25,0.00